[1]
Material: ZnNi5Ge
Method: DFT, GGA-PBE
State: optimized geometry

abc: 8.0640 4.5864 9.3358
angles: 90.00 94.54 90.00
Closest atoms and distances in Å follow each position.
Space group C2/c (No. 15)
Inequivalent atoms, fractional coordinates:
1 Zn 0.0000 0.0000 0.0000 (multiplicity 4)  6 Ni 2.48-2.55, 2 Ge 2.73
2 Ni 0.0000 0.1965 0.2500 (multiplicity 4)  2 Ge 2.27-2.32, 4 Ni 2.38-2.43, 2 Zn 2.50
3 Ni 0.1636 0.4684 0.0559 (multiplicity 8)  6 Ni 2.42-2.70, 1 Ge 2.54, 1 Zn 2.55
4 Ni 0.2420 0.0478 0.6804 (multiplicity 8)  7 Ni 2.38-2.63, 2 Ge 2.40-2.42, 1 Zn 2.48
5 Ge 0.0000 0.3091 0.7500 (multiplicity 4)  8 Ni 2.27-2.54

ΔH_f (0 K) in eV per atom: -0.020

***

[2]
Material: Al2MoSe
Method: DFT, GGA-PBE
State: optimized geometry

abc: 3.4551 3.4551 5.5433
angles: 90.00 90.00 90.00
Closest atoms and distances in Å follow each position.
Space group P4mm (No. 99)
Inequivalent atoms, fractional coordinates:
1 Al 0.0000 0.0000 0.0000 (multiplicity 1)  1 Mo 2.61, 4 Se 2.81, 4 Al 2.83
2 Al 0.5000 0.5000 0.2584 (multiplicity 1)  4 Mo 2.71, 2 Se 2.73-2.81, 4 Al 2.83
3 Mo 0.0000 0.0000 0.4710 (multiplicity 1)  5 Al 2.61-2.71, 4 Se 2.89
4 Se 0.5000 0.5000 0.7511 (multiplicity 1)  6 Al 2.73-2.81, 4 Mo 2.89

Formation energy from raw total energies in kJ per mole of atoms: 4

***

[3]
Material: La3PmSb2
Method: DFT, GGA-PBE
State: optimized geometry

abc: 4.6674 4.6674 9.0260
angles: 90.00 90.00 90.00
Closest atoms and distances in Å follow each position.
Space group P-4m2 (No. 115)
Inequivalent atoms, fractional coordinates:
1 La 0.0000 0.0000 0.0000 (multiplicity 1)  4 Pm 3.30, 4 Sb 3.41
2 La 0.0000 0.5000 0.6439 (multiplicity 2)  5 Sb 3.32-3.38
3 Pm 0.5000 0.5000 0.0000 (multiplicity 1)  4 La 3.30, 4 Sb 3.41
4 Sb 0.0000 0.5000 0.2756 (multiplicity 2)  7 La 3.32-3.41, 2 Pm 3.41

Formation energy from raw total energies in kJ per mole of atoms: -83

***

[4]
Material: LiY2HoS5
Method: DFT, GGA-PBE
State: optimized geometry

abc: 3.8924 16.1769 11.7916
angles: 90.00 90.00 90.00
Closest atoms and distances in Å follow each position.
Space group Cmc2_1 (No. 36)
Inequivalent atoms, fractional coordinates:
1 Li 0.0000 0.0130 0.0000 (multiplicity 4)  4 S 2.29-2.43
2 Y 0.0000 0.3760 0.8109 (multiplicity 4)  6 S 2.80-3.02
3 Y 0.0000 0.3925 0.2019 (multiplicity 4)  8 S 2.80-3.02
4 Ho 0.0000 0.3031 0.5192 (multiplicity 4)  6 S 2.59-2.74
5 S 0.0000 0.9999 0.3029 (multiplicity 4)  1 Li 2.33
6 S 0.0000 0.1368 0.5195 (multiplicity 4)  1 Li 2.43, 1 Ho 2.69
7 S 0.0000 0.1927 0.8593 (multiplicity 4)  2 Ho 2.71, 3 Y 3.02
8 S 0.0000 0.2137 0.1807 (multiplicity 4)  2 Ho 2.74, 3 Y 2.87-2.90
9 S 0.0000 0.4540 0.5925 (multiplicity 4)  2 Li 2.29

Formation energy from raw total energies in kJ per mole of atoms: -181

***

[5]
Material: NdPuCo
Method: DFT, GGA-PBE
State: optimized geometry

abc: 3.4903 3.4903 11.2825
angles: 90.00 90.00 90.00
Closest atoms and distances in Å follow each position.
Space group I4mm (No. 107)
Inequivalent atoms, fractional coordinates:
1 Nd 0.0000 0.0000 0.0000 (multiplicity 2)  5 Pu 3.17-3.49, 5 Co 3.25-3.52, 4 Nd 3.49
2 Pu 0.0000 0.0000 0.2808 (multiplicity 2)  4 Co 2.68
3 Co 0.0000 0.0000 0.6879 (multiplicity 2)  4 Pu 2.68

ΔH_f (0 K) in eV per atom: 0.095

***

[6]
Material: ScAlIO2
Method: DFT, GGA-PBE
State: optimized geometry

abc: 3.8655 3.8655 5.4064
angles: 90.00 90.00 90.00
Closest atoms and distances in Å follow each position.
Space group P4/mmm (No. 123)
Inequivalent atoms, fractional coordinates:
1 Sc 0.0000 0.0000 0.0000 (multiplicity 1)  4 I 2.73
2 Al 0.5000 0.5000 0.5000 (multiplicity 1)  4 O 1.93
3 I 0.5000 0.5000 0.0000 (multiplicity 1)  2 Al 2.70, 4 Sc 2.73
4 O 0.0000 0.5000 0.5000 (multiplicity 2)  2 Al 1.93

Formation energy from raw total energies in kJ per mole of atoms: -112

***

no.,spin magnetization (Bohr magnetons per cell)
1,0.0
2,0.0
3,0.0
4,0.0
5,9.1
6,0.0